Material: BaCoSeO
Method: DFT, PBE+U
State: optimized geometry

Summary:
Energy = -5.358 eV per atom
Space group = No. 61

abc: 6.2104 8.2711 13.1669
angles: 90.00 90.00 90.00
Closest atoms and distances in Å follow each position.
Positions (direct):
Ba 0.2463 0.1252 0.1421  4 O 2.92-3.00
Ba 0.2463 0.3748 0.6421  4 O 2.92-3.00
Ba 0.2537 0.6252 0.1421  4 O 2.92-3.00
Ba 0.2537 0.8748 0.6421  4 O 2.92-3.00
Ba 0.7463 0.1252 0.3579  4 O 2.92-3.00
Ba 0.7463 0.3748 0.8579  4 O 2.92-3.00
Ba 0.7537 0.6252 0.3579  4 O 2.92-3.00
Ba 0.7537 0.8748 0.8579  4 O 2.92-3.00
Co 0.2454 0.1261 0.8413  2 O 1.96-1.97
Co 0.2454 0.3739 0.3413  2 O 1.96-1.97
Co 0.2546 0.6261 0.8413  2 O 1.96-1.97
Co 0.2546 0.8739 0.3413  2 O 1.96-1.97
Co 0.7454 0.1261 0.6587  2 O 1.96-1.97
Co 0.7454 0.3739 0.1587  2 O 1.96-1.97
Co 0.7546 0.6261 0.6587  2 O 1.96-1.97
Co 0.7546 0.8739 0.1587  2 O 1.96-1.97
Se 0.2469 0.1238 0.4441  2 Co 2.47
Se 0.2469 0.3762 0.9441  2 Co 2.47
Se 0.2531 0.6238 0.4441  2 Co 2.47
Se 0.2531 0.8762 0.9441  2 Co 2.47
Se 0.7469 0.1238 0.0559  2 Co 2.47
Se 0.7469 0.3762 0.5559  2 Co 2.47
Se 0.7531 0.6238 0.0559  2 Co 2.47
Se 0.7531 0.8762 0.5559  2 Co 2.47
O 0.0062 0.6268 0.7486  2 Co 1.96-1.97
O 0.0062 0.8732 0.2486  2 Co 1.96-1.97
O 0.4938 0.1268 0.7486  2 Co 1.96-1.97
O 0.4938 0.3732 0.2486  2 Co 1.96-1.97
O 0.5062 0.6268 0.7514  2 Co 1.96-1.97
O 0.5062 0.8732 0.2514  2 Co 1.96-1.97
O 0.9938 0.1268 0.7514  2 Co 1.96-1.97
O 0.9938 0.3732 0.2514  2 Co 1.96-1.97